Run i
DFT (PBE) results for a geometry-optimized KBa3Na8 structure.

Cell: 7.2928 7.2928 12.0136 Å, 90.00 90.00 120.00°
With the nearest neighbours (Å) after each atom.
Space group P3m1 (No. 156)
Symmetry-distinct sites (fractional):
K 0.0000 0.0000 0.0000  12 Na 4.28-4.32, 4 Ba 4.49-4.54
Ba 0.0000 0.0000 0.3782  12 Na 4.22-4.30, 3 Ba 4.45, 1 K 4.54
Ba 0.6667 0.3333 0.4978  12 Na 4.25-4.28, 4 Ba 4.45-4.47
Ba 0.6667 0.3333 0.8700  12 Na 4.28-4.35, 1 Ba 4.47, 3 K 4.49
Na 0.1642 0.3284 0.6842  6 Na 3.59-3.70
Na 0.3333 0.6667 0.4370  6 Na 3.66-3.67
Na 0.3333 0.6667 0.9358  6 Na 3.70-3.72
Na 0.5026 0.0052 0.1888  6 Na 3.59-3.72

## Properties
For the density of states at the Fermi level, the calculation gives 10.8 states/eV/cell.


Run ii
DFT (PBE) results for a geometry-optimized KBa3Na8 structure.

Cell: 7.2951 7.2951 36.0851 Å, 90.00 90.00 120.00°
With the nearest neighbours (Å) after each atom.
Space group R3m (No. 160, hexagonal axes)
Symmetry-distinct sites (fractional):
K 0.0000 0.0000 0.0000  12 Na 4.28-4.36, 4 Ba 4.49-4.55
Ba 0.0000 0.0000 0.1261  12 Na 4.23-4.29, 3 Ba 4.46, 1 K 4.55
Ba 0.0000 0.0000 0.4997  12 Na 4.26-4.27, 4 Ba 4.46
Ba 0.0000 0.0000 0.6232  12 Na 4.28-4.40, 1 Ba 4.46, 3 K 4.49
Na 0.0000 0.0000 0.3122  6 Na 3.69-3.70
Na 0.0000 0.0000 0.8128  6 Na 3.64-3.66
Na 0.0016 0.5008 0.0635  6 Na 3.63-3.70
Na 0.1680 0.3360 0.8946  6 Na 3.62-3.69

## Properties
For the density of states at the Fermi level, the calculation gives 36.1 states/eV/cell.


Most stable one: run i, least stable one: run ii.


Run i
DFT (PBE) results for a geometry-optimized KBaNa5 structure.

Cell: 6.8720 6.8720 7.6947 Å, 90.00 90.00 90.00°
With the nearest neighbours (Å) after each atom.
Space group P4/mmm (No. 123)
Symmetry-distinct sites (fractional):
K 0.0000 0.0000 0.0000  8 Na 3.92
Ba 0.5000 0.5000 0.5000  10 Na 3.85-3.96
Na 0.0000 0.5000 0.2452  4 Na 3.77-3.92, 2 K 3.92, 2 Ba 3.96
Na 0.5000 0.5000 0.0000  2 Ba 3.85, 8 Na 3.92

## Properties
For the density of states at the Fermi level, the calculation gives 6.7 states/eV/cell.


Run ii
DFT (PBE) results for a geometry-optimized KBaNa5 structure.

Cell: 5.3800 5.3800 12.3387 Å, 90.00 90.00 90.00°
With the nearest neighbours (Å) after each atom.
Space group P4/mmm (No. 123)
Symmetry-distinct sites (fractional):
K 0.0000 0.0000 0.0000  8 Na 4.14
Ba 0.5000 0.5000 0.5000  12 Na 3.80-4.04
Na 0.0000 0.0000 0.5000  4 Ba 3.80, 8 Na 4.04
Na 0.0000 0.5000 0.2552  6 Na 3.80-4.04, 2 Ba 4.04, 2 K 4.14

## Properties
For the density of states at the Fermi level, the calculation gives 5.2 states/eV/cell.


Most stable one: run ii, least stable one: run i.


Run i
DFT (PBE) results for a geometry-optimized KBa2NaRh structure.

Cell: 6.0017 6.0017 6.5650 Å, 90.00 90.00 90.00°
With the nearest neighbours (Å) after each atom.
Space group P4/mmm (No. 123)
Symmetry-distinct sites (fractional):
K 0.0000 0.0000 0.0000  2 Rh 3.28
Ba 0.0000 0.5000 0.5000  2 Rh 3.00
Na 0.5000 0.5000 0.0000  4 K 4.24, 8 Ba 4.45
Rh 0.0000 0.0000 0.5000  4 Ba 3.00, 2 K 3.28

## Properties
For the density of states at the Fermi level, the calculation gives 3.4 states/eV/cell.


Run ii
DFT (PBE) results for a geometry-optimized KBa2NaRh structure.

Cell: 6.0476 6.0476 6.1918 Å, 90.00 90.00 90.00°
With the nearest neighbours (Å) after each atom.
Space group P4/mmm (No. 123)
Symmetry-distinct sites (fractional):
K 0.0000 0.0000 0.0000  4 Na 4.28, 8 Ba 4.33
Ba 0.0000 0.5000 0.5000  2 Rh 3.02
Na 0.5000 0.5000 0.0000  2 Rh 3.10
Rh 0.5000 0.5000 0.5000  4 Ba 3.02, 2 Na 3.10

## Properties
For the density of states at the Fermi level, the calculation gives 3.3 states/eV/cell.


Most stable one: run ii, least stable one: run i.


Run i
DFT (PBE) results for a geometry-optimized KBa2NaSe structure.

Cell: 6.4730 6.4730 6.2233 Å, 90.00 90.00 90.00°
With the nearest neighbours (Å) after each atom.
Space group P4/mmm (No. 123)
Symmetry-distinct sites (fractional):
K 0.0000 0.0000 0.0000  8 Ba 4.49, 4 Na 4.58
Ba 0.0000 0.5000 0.5000  2 Se 3.24
Na 0.5000 0.5000 0.0000  2 Se 3.11
Se 0.5000 0.5000 0.5000  2 Na 3.11, 4 Ba 3.24

## Properties
For the density of states at the Fermi level, the calculation gives 3.5 states/eV/cell.


Run ii
DFT (PBE) results for a geometry-optimized KBa2NaSe structure.

Cell: 6.4252 6.4252 6.5211 Å, 90.00 90.00 90.00°
With the nearest neighbours (Å) after each atom.
Space group P4/mmm (No. 123)
Symmetry-distinct sites (fractional):
K 0.0000 0.0000 0.0000  2 Se 3.26
Ba 0.0000 0.5000 0.5000  2 Se 3.21
Na 0.5000 0.5000 0.0000  4 K 4.54, 8 Ba 4.58
Se 0.0000 0.0000 0.5000  4 Ba 3.21, 2 K 3.26

## Properties
For the density of states at the Fermi level, the calculation gives 4.0 states/eV/cell.


Most stable one: run ii, least stable one: run i.


Run i
DFT (PBE) results for a geometry-optimized KBa3Nb structure.

Cell: 6.3548 6.3548 6.3548 Å, 90.00 90.00 90.00°
With the nearest neighbours (Å) after each atom.
Space group Pm-3m (No. 221)
Symmetry-distinct sites (fractional):
K 0.0000 0.0000 0.0000  6 Ba 3.18
Ba 0.0000 0.0000 0.5000  2 K 3.18
Nb 0.5000 0.5000 0.5000  12 Ba 4.49

## Properties
For the density of states at the Fermi level, the calculation gives 9.8 states/eV/cell.


Run ii
DFT (PBE) results for a geometry-optimized KBa3Nb structure.

Cell: 6.3824 6.3824 6.3824 Å, 90.00 90.00 90.00°
With the nearest neighbours (Å) after each atom.
Space group Pm-3m (No. 221)
Symmetry-distinct sites (fractional):
K 0.0000 0.0000 0.0000  12 Ba 4.51
Ba 0.0000 0.5000 0.5000  2 Nb 3.19
Nb 0.5000 0.5000 0.5000  6 Ba 3.19

## Properties
For the density of states at the Fermi level, the calculation gives 4.6 states/eV/cell.


Most stable one: run ii, least stable one: run i.


Run i
DFT (PBE) results for a geometry-optimized KBa2Nd structure.

Cell: 4.0149 4.0149 45.6499 Å, 90.00 90.00 120.00°
With the nearest neighbours (Å) after each atom.
Space group R-3m (No. 166, hexagonal axes)
Symmetry-distinct sites (fractional):
K 0.0000 0.0000 0.0000  6 K 4.01
Ba 0.0000 0.0000 0.4199  1 Nd 3.66, 6 Ba 4.01
Nd 0.0000 0.0000 0.5000  2 Ba 3.66, 6 Nd 4.01

## Properties
For the density of states at the Fermi level, the calculation gives 18.9 states/eV/cell.


Run ii
DFT (PBE) results for a geometry-optimized KBa2Nd structure.

Cell: 4.1252 4.1252 12.9151 Å, 90.00 90.00 90.00°
With the nearest neighbours (Å) after each atom.
Space group P4/mmm (No. 123)
Symmetry-distinct sites (fractional):
K 0.0000 0.0000 0.0000  4 K 4.13
Ba 0.5000 0.5000 0.2858  4 Nd 4.02, 4 Ba 4.13
Nd 0.0000 0.0000 0.5000  8 Ba 4.02, 4 Nd 4.13

## Properties
For the density of states at the Fermi level, the calculation gives 8.0 states/eV/cell.


Most stable one: run ii, least stable one: run i.


Run i
DFT (PBE) results for a geometry-optimized KBaNi3 structure.

Cell: 5.0309 5.0309 5.0309 Å, 90.00 90.00 90.00°
With the nearest neighbours (Å) after each atom.
Space group Pm-3m (No. 221)
Symmetry-distinct sites (fractional):
K 0.0000 0.0000 0.0000  6 Ni 2.52
Ba 0.5000 0.5000 0.5000  12 Ni 3.56
Ni 0.0000 0.0000 0.5000  2 K 2.52

## Properties
For the density of states at the Fermi level, the calculation gives 7.2 states/eV/cell.


Run ii
DFT (PBE) results for a geometry-optimized KBaNi3 structure.

Cell: 5.2889 5.2889 5.2889 Å, 90.00 90.00 90.00°
With the nearest neighbours (Å) after each atom.
Space group Pm-3m (No. 221)
Symmetry-distinct sites (fractional):
K 0.0000 0.0000 0.0000  12 Ni 3.74
Ba 0.5000 0.5000 0.5000  6 Ni 2.64
Ni 0.0000 0.5000 0.5000  2 Ba 2.64

## Properties
For the density of states at the Fermi level, the calculation gives 17.4 states/eV/cell.


Most stable one: run i, least stable one: run ii.


Run i
DFT (PBE) results for a geometry-optimized KBaNi2 structure.

Cell: 4.1005 4.1005 26.0438 Å, 90.00 90.00 120.00°
With the nearest neighbours (Å) after each atom.
Space group R-3m (No. 166, hexagonal axes)
Symmetry-distinct sites (fractional):
K 0.0000 0.0000 0.0000  6 Ni 3.33
Ba 0.0000 0.0000 0.5000  6 Ni 3.10
Ni 0.0000 0.0000 0.2434  3 Ba 3.10, 3 K 3.33

## Properties
For the density of states at the Fermi level, the calculation gives 29.0 states/eV/cell.


Run ii
DFT (PBE) results for a geometry-optimized KBaNi2 structure.

Cell: 6.7684 7.6835 4.0797 Å, 90.00 90.12 90.00°
With the nearest neighbours (Å) after each atom.
Space group C2/m (No. 12)
Symmetry-distinct sites (fractional):
K 0.0000 0.0000 0.0000  8 Ni 3.27-3.28, 2 Ba 3.38
Ba 0.0000 0.5000 0.0000  8 Ni 3.27-3.28, 2 K 3.38
Ni 0.2500 0.2500 0.5000  4 Ba 3.27-3.28, 4 K 3.27-3.28, 2 Ni 3.38

## Properties
For the density of states at the Fermi level, the calculation gives 13.3 states/eV/cell.


Run iii
DFT (PBE) results for a geometry-optimized KBaNi2 structure.

Cell: 4.3224 4.8407 11.1200 Å, 90.00 90.00 90.00°
With the nearest neighbours (Å) after each atom.
Space group Amm2 (No. 38)
Symmetry-distinct sites (fractional):
K 0.0000 0.0000 0.0000  7 Ni 3.19-3.52
Ba 0.5000 0.0000 0.7087  2 Ni 3.06
Ni 0.0000 0.0000 0.3128  2 Ni 2.28
Ni 0.5000 0.0000 0.3772  2 Ni 2.28

## Properties
For the density of states at the Fermi level, the calculation gives 6.9 states/eV/cell.


Run iv
DFT (PBE) results for a geometry-optimized KBaNi2 structure.

Cell: 8.3218 8.3218 6.1458 Å, 90.00 90.00 90.00°
With the nearest neighbours (Å) after each atom.
Space group I-42d (No. 122)
Symmetry-distinct sites (fractional):
K 0.0000 0.0000 0.0000  2 Ba 3.07, 4 Ni 3.08
Ba 0.0000 0.0000 0.5000  4 Ni 3.01, 2 K 3.07
Ni 0.2437 0.7500 0.6250  2 Ba 3.01, 2 Ni 3.07, 2 K 3.08

## Properties
For the density of states at the Fermi level, the calculation gives 26.7 states/eV/cell.


Most stable one: run iii, least stable one: run i.